Entry 1:
# Pa4Si2Tc | Alexandria | PBE | optimized geometry
data_Pa4Si2Tc
_chemical_formula_sum 'Pa12 Si6 Tc3'
_space_group_name_H-M_alt 'R -3 m'
_space_group_IT_number 166
_space_group_name_Hall '-R 3 2"'
_cell_length_a 4.3177
_cell_length_b 4.3177
_cell_length_c 29.9807
_cell_angle_alpha 90.00
_cell_angle_beta 90.00
_cell_angle_gamma 120.00
loop_
_atom_site_label
_atom_site_type_symbol
_atom_site_fract_x
_atom_site_fract_y
_atom_site_fract_z
_atom_site_occupancy
Pa1 Pa 0.0000 0.0000 0.1216 1
Pa2 Pa 0.0000 0.0000 0.3051 1
Si1 Si 0.0000 0.0000 0.4086 1
Tc1 Tc 0.0000 0.0000 0.5000 1
# E_form (uncorrected) = -78 meV per atom


Entry 2:
# SrYInBr6 | Alexandria | PBE | optimized geometry
data_SrYInBr6
_chemical_formula_sum 'Sr2 Y2 In2 Br12'
_space_group_name_H-M_alt 'P -3 1 c'
_space_group_IT_number 163
_space_group_name_Hall '-P 3 2c'
_cell_length_a 7.6830
_cell_length_b 7.6830
_cell_length_c 14.0187
_cell_angle_alpha 90.00
_cell_angle_beta 90.00
_cell_angle_gamma 120.00
loop_
_atom_site_label
_atom_site_type_symbol
_atom_site_fract_x
_atom_site_fract_y
_atom_site_fract_z
_atom_site_occupancy
Sr1 Sr 0.3333 0.6667 0.2500 1
Y1 Y 0.3333 0.6667 0.7500 1
In1 In 0.0000 0.0000 0.0000 1
Br1 Br 0.0245 0.3763 0.6336 1
# E_form (uncorrected) = -1696 meV per atom


Entry 3:
# FeSiNi3 | Alexandria | PBE | optimized geometry
data_FeSiNi3
_chemical_formula_sum 'Fe1 Si1 Ni3'
_space_group_name_H-M_alt 'P m -3 m'
_space_group_IT_number 221
_space_group_name_Hall '-P 4 2 3'
_cell_length_a 4.1556
_cell_length_b 4.1556
_cell_length_c 4.1556
_cell_angle_alpha 90.00
_cell_angle_beta 90.00
_cell_angle_gamma 90.00
loop_
_atom_site_label
_atom_site_type_symbol
_atom_site_fract_x
_atom_site_fract_y
_atom_site_fract_z
_atom_site_occupancy
Fe1 Fe 0.0000 0.0000 0.0000 1
Si1 Si 0.5000 0.5000 0.5000 1
Ni1 Ni 0.0000 0.5000 0.5000 1
# E_form (uncorrected) = 538 meV per atom
# Polymorph energy (0 for the lowest one) = 0 meV per atom


Entry 4:
# GdHgAu4 | Alexandria | PBE | optimized geometry
data_GdHgAu4
_chemical_formula_sum 'Gd4 Hg4 Au16'
_space_group_name_H-M_alt 'F -4 3 m'
_space_group_IT_number 216
_space_group_name_Hall 'F -4 2 3'
_cell_length_a 7.9325
_cell_length_b 7.9325
_cell_length_c 7.9325
_cell_angle_alpha 90.00
_cell_angle_beta 90.00
_cell_angle_gamma 90.00
loop_
_atom_site_label
_atom_site_type_symbol
_atom_site_fract_x
_atom_site_fract_y
_atom_site_fract_z
_atom_site_occupancy
Gd1 Gd 0.0000 0.0000 0.0000 1
Hg1 Hg 0.2500 0.2500 0.7500 1
Au1 Au 0.1248 0.1248 0.3752 1
# Calculated formation energy = -2.45 eV/f.u.


Entry 5:
# U2Ni12P3Rh | Alexandria | PBE | optimized geometry
data_U2Ni12P3Rh
_chemical_formula_sum 'U6 Ni36 P9 Rh3'
_space_group_name_H-M_alt 'R -3 m'
_space_group_IT_number 166
_space_group_name_Hall '-R 3 2"'
_cell_length_a 8.2700
_cell_length_b 8.2700
_cell_length_c 12.0906
_cell_angle_alpha 90.00
_cell_angle_beta 90.00
_cell_angle_gamma 120.00
loop_
_atom_site_label
_atom_site_type_symbol
_atom_site_fract_x
_atom_site_fract_y
_atom_site_fract_z
_atom_site_occupancy
U1 U 0.0000 0.0000 0.1007 1
Ni1 Ni 0.0165 0.5082 0.8219 1
Ni2 Ni 0.0426 0.5213 0.3826 1
P1 P 0.0000 0.5000 0.0000 1
Rh1 Rh 0.0000 0.0000 0.5000 1
# Calculated formation energy = -0.70 eV/f.u.


Entry 6:
# ScCd3In | Alexandria | PBE | optimized geometry
data_ScCd3In
_chemical_formula_sum 'Sc1 Cd3 In1'
_space_group_name_H-M_alt 'P m -3 m'
_space_group_IT_number 221
_space_group_name_Hall '-P 4 2 3'
_cell_length_a 5.6118
_cell_length_b 5.6118
_cell_length_c 5.6118
_cell_angle_alpha 90.00
_cell_angle_beta 90.00
_cell_angle_gamma 90.00
loop_
_atom_site_label
_atom_site_type_symbol
_atom_site_fract_x
_atom_site_fract_y
_atom_site_fract_z
_atom_site_occupancy
Sc1 Sc 0.0000 0.0000 0.0000 1
Cd1 Cd 0.0000 0.0000 0.5000 1
In1 In 0.5000 0.5000 0.5000 1
# Calculated formation energy = 2.90 eV/f.u.
# Polymorph energy (0 for the lowest one) = 690 meV per atom


Entry 7:
# LiEuAlAg | Alexandria | PBE | optimized geometry
data_LiEuAlAg
_chemical_formula_sum 'Li4 Eu4 Al4 Ag4'
_space_group_name_H-M_alt 'F -4 3 m'
_space_group_IT_number 216
_space_group_name_Hall 'F -4 2 3'
_cell_length_a 6.9953
_cell_length_b 6.9953
_cell_length_c 6.9953
_cell_angle_alpha 90.00
_cell_angle_beta 90.00
_cell_angle_gamma 90.00
loop_
_atom_site_label
_atom_site_type_symbol
_atom_site_fract_x
_atom_site_fract_y
_atom_site_fract_z
_atom_site_occupancy
Li1 Li 0.0000 0.0000 0.0000 1
Eu1 Eu 0.2500 0.2500 0.2500 1
Al1 Al 0.2500 0.2500 0.7500 1
Ag1 Ag 0.0000 0.0000 0.5000 1
# Calculated formation energy = -0.63 eV/f.u.


Entry 8:
# Ac2Tb3Cd2 | Alexandria | PBE | optimized geometry
data_Ac2Tb3Cd2
_chemical_formula_sum 'Ac4 Tb6 Cd4'
_space_group_name_H-M_alt 'C m m m'
_space_group_IT_number 65
_space_group_name_Hall '-C 2 2'
_cell_length_a 3.7659
_cell_length_b 33.0748
_cell_length_c 3.7262
_cell_angle_alpha 90.00
_cell_angle_beta 90.00
_cell_angle_gamma 90.00
loop_
_atom_site_label
_atom_site_type_symbol
_atom_site_fract_x
_atom_site_fract_y
_atom_site_fract_z
_atom_site_occupancy
Ac1 Ac 0.0000 0.1972 0.0000 1
Tb1 Tb 0.0000 0.0707 0.0000 1
Tb2 Tb 0.0000 0.5000 0.5000 1
Cd1 Cd 0.0000 0.3730 0.5000 1
# Calculated formation energy = -0.70 eV/f.u.


Entry 9:
# KCrTc2 | Alexandria | PBE | optimized geometry
data_KCrTc2
_chemical_formula_sum 'K2 Cr2 Tc4'
_space_group_name_H-M_alt 'C m m m'
_space_group_IT_number 65
_space_group_name_Hall '-C 2 2'
_cell_length_a 3.0407
_cell_length_b 4.5012
_cell_length_c 9.9323
_cell_angle_alpha 90.00
_cell_angle_beta 90.00
_cell_angle_gamma 90.00
loop_
_atom_site_label
_atom_site_type_symbol
_atom_site_fract_x
_atom_site_fract_y
_atom_site_fract_z
_atom_site_occupancy
K1 K 0.0000 0.0000 0.0000 1
Cr1 Cr 0.0000 0.0000 0.5000 1
Tc1 Tc 0.0000 0.5000 0.3039 1
# Calculated formation energy = 2.99 eV/f.u.
# Polymorph energy (0 for the lowest one) = 0 meV per atom


Entry 10:
Here is an optimized crystal structure of YSc2GeH from Alexandria. Energies are from PBE.

Geometry as CIF:
```
data_YSc2GeH
_chemical_formula_sum 'Y1 Sc2 Ge1 H1'
_space_group_name_H-M_alt 'P 4/m m m'
_space_group_IT_number 123
_space_group_name_Hall '-P 4 2'
_cell_length_a 4.4514
_cell_length_b 4.4514
_cell_length_c 4.5388
_cell_angle_alpha 90.00
_cell_angle_beta 90.00
_cell_angle_gamma 90.00
loop_
_atom_site_label
_atom_site_type_symbol
_atom_site_fract_x
_atom_site_fract_y
_atom_site_fract_z
_atom_site_occupancy
Y1 Y 0.0000 0.0000 0.0000 1
Sc1 Sc 0.0000 0.5000 0.5000 1
Ge1 Ge 0.5000 0.5000 0.0000 1
H1 H 0.0000 0.0000 0.5000 1
```


Entry 11:
# CaAsPS2 | Alexandria | PBE | optimized geometry
data_CaAsPS2
_chemical_formula_sum 'Ca1 As1 P1 S2'
_space_group_name_H-M_alt 'P 4/m m m'
_space_group_IT_number 123
_space_group_name_Hall '-P 4 2'
_cell_length_a 4.8614
_cell_length_b 4.8614
_cell_length_c 4.7120
_cell_angle_alpha 90.00
_cell_angle_beta 90.00
_cell_angle_gamma 90.00
loop_
_atom_site_label
_atom_site_type_symbol
_atom_site_fract_x
_atom_site_fract_y
_atom_site_fract_z
_atom_site_occupancy
Ca1 Ca 0.0000 0.0000 0.0000 1
As1 As 0.5000 0.5000 0.5000 1
P1 P 0.5000 0.5000 0.0000 1
S1 S 0.0000 0.5000 0.5000 1
# E_form (uncorrected) = -200 meV per atom
# Polymorph energy (0 for the lowest one) = 0 meV per atom


Entry 12:
# Sm4AgSe3 | Alexandria | PBE | optimized geometry
data_Sm4AgSe3
_chemical_formula_sum 'Sm8 Ag2 Se6'
_space_group_name_H-M_alt 'C m m m'
_space_group_IT_number 65
_space_group_name_Hall '-C 2 2'
_cell_length_a 8.4938
_cell_length_b 11.9200
_cell_length_c 4.1578
_cell_angle_alpha 90.00
_cell_angle_beta 90.00
_cell_angle_gamma 90.00
loop_
_atom_site_label
_atom_site_type_symbol
_atom_site_fract_x
_atom_site_fract_y
_atom_site_fract_z
_atom_site_occupancy
Sm1 Sm 0.0000 0.2464 0.0000 1
Sm2 Sm 0.2446 0.0000 0.5000 1
Ag1 Ag 0.0000 0.5000 0.0000 1
Se1 Se 0.0000 0.0000 0.0000 1
Se2 Se 0.2500 0.2500 0.5000 1
# E_form (uncorrected) = -1407 meV per atom


no.,total energy (eV/cell)
1,-179.22
2,-72.37
3,-28.54
4,-119.77
5,-348.69
6,-8.91
7,-77.67
8,-49.28
9,-56.92
10,-29.28
11,-21.32
12,-86.88